No. 1
A geometry-optimized TmAg4Pb structure. Source: Alexandria, functional PBE-GGA.

## Properties
total moment	0.0	μB per cell
formation enthalpy at 0 K	-0.1281	eV/atom

Cell: 5.6566 5.6566 5.6566 Å, 60.00 60.00 60.00°
Positions (direct):
Pb1 0.0000 0.0000 0.0000
Tm1 0.2500 0.2500 0.2500
Ag1 0.6245 0.6245 0.1264
Ag2 0.6245 0.1264 0.6245
Ag3 0.6245 0.6245 0.6245
Ag4 0.1264 0.6245 0.6245



No. 2
A geometry-optimized V6Ge3N structure. Source: Alexandria, functional PBE-GGA.

## Properties
total moment	0.0	μB per cell
total energy	-79.29	eV/cell

Cell: 6.7750 5.4257 5.4257 Å, 56.83 62.46 62.46°
Positions (direct):
V1 0.3802 0.1565 0.6493
V2 0.6198 0.3507 0.8435
V3 0.6198 0.8435 0.3507
V4 0.3802 0.6493 0.1565
V5 0.1917 0.7068 0.7068
V6 0.8083 0.2932 0.2932
Ge1 0.2139 0.2441 0.2441
Ge2 0.7861 0.7559 0.7559
Ge3 0.0000 0.0000 0.0000
N1 0.5000 0.5000 0.5000



No. 3
A geometry-optimized La4GaPtI2 structure. Source: Alexandria, functional PBE-GGA.

## Properties
total moment	0.0	μB per cell
total energy	-39.75	eV/cell

Cell: 4.2742 7.9253 8.2883 Å, 106.77 90.00 90.00°
Positions (direct):
La1 0.5000 0.2211 0.1914
La2 0.5000 0.7789 0.8086
La3 0.0000 0.2554 0.7901
La4 0.0000 0.7446 0.2099
Ga1 0.5000 0.5000 0.0000
Pt1 0.0000 0.0000 0.0000
I1 0.5000 0.0000 0.5000
I2 0.0000 0.5000 0.5000



No. 4
A geometry-optimized Y2CdHIr structure. Source: Alexandria, functional PBE-GGA.

## Properties
total moment	0.0	μB per cell
total energy	-28.62	eV/cell

Cell: 5.1001 5.1001 3.6390 Å, 90.00 90.00 90.00°
Positions (direct):
Y1 0.0000 0.5000 0.0000
Y2 0.5000 0.0000 0.0000
H1 0.0000 0.0000 0.0000
Ir1 0.0000 0.0000 0.5000
Cd1 0.5000 0.5000 0.5000



No. 5
A geometry-optimized Pm4Pr2SmEr2 structure. Source: Alexandria, functional PBE-GGA.

## Properties
total moment	0.0	μB per cell
formation enthalpy at 0 K	0.0195	eV/atom

Cell: 5.1422 8.1312 8.0960 Å, 107.62 90.00 108.43°
Positions (direct):
Pm1 0.7785 0.5569 0.6699
Pm2 0.2215 0.4431 0.3301
Pm3 0.5556 0.1111 0.3304
Pm4 0.4444 0.8889 0.6696
Pr1 0.8882 0.7764 0.3316
Pr2 0.1118 0.2236 0.6684
Sm1 0.0000 0.0000 0.0000
Er1 0.3326 0.6652 0.9998
Er2 0.6674 0.3348 0.0002



No. 6
A geometry-optimized LiAcCdSn structure. Source: Alexandria, functional PBE-GGA.

## Properties
total moment	0.0	μB per cell
formation enthalpy at 0 K	-0.4013	eV/atom

Cell: 5.4583 5.4583 5.4583 Å, 60.00 60.00 60.00°
Positions (direct):
Ac1 0.5000 0.5000 0.5000
Li1 0.0000 0.0000 0.0000
Sn1 0.2500 0.2500 0.2500
Cd1 0.7500 0.7500 0.7500



Q: Look up the total moment of the second one.
A: 0.0 μB per cell